Here is a geometry-optimized ScAlNiHg structure from OQMD via LeMat-Bulk. Energies are from PBE-GGA.

Computed properties:
**Uncorrected energy**: -16.918 eV/f.u.
**Total moment**: 0.002 μB per atom
**Energy above the most stable polymorph in this dataset**: 0.083 eV per atom

Unit cell a=4.567 b=4.567 c=4.567 alpha=60.00 beta=60.00 gamma=60.00
Sites, in units of the cell vectors:
Sc1 0.250 0.250 0.250
Ni1 0.750 0.750 0.750
Al1 0.000 0.000 0.000
Hg1 0.500 0.500 0.500


Here is a geometry-optimized AlTcNiHg structure from OQMD via LeMat-Bulk. Energies are from PBE-GGA.

Computed properties:
**Uncorrected energy**: -19.168 eV/f.u.
**Total moment**: 0.128 μB per atom
**Energy above the most stable polymorph in this dataset**: 0.000 eV per atom

Unit cell a=4.412 b=4.412 c=4.412 alpha=60.00 beta=60.00 gamma=60.00
Sites, in units of the cell vectors:
Ni1 0.750 0.750 0.750
Hg1 0.500 0.500 0.500
Tc1 0.250 0.250 0.250
Al1 0.000 0.000 0.000


Here is a geometry-optimized AlNiHgW structure from OQMD via LeMat-Bulk. Energies are from PBE-GGA.

Computed properties:
**Uncorrected energy**: -20.213 eV/f.u.
**Total moment**: 0.353 μB per atom

Unit cell a=4.476 b=4.476 c=4.476 alpha=60.00 beta=60.00 gamma=60.00
Sites, in units of the cell vectors:
Hg1 0.250 0.250 0.250
W1 0.500 0.500 0.500
Al1 0.000 0.000 0.000
Ni1 0.750 0.750 0.750